No. 1
Entry from Alexandria via LeMat-Bulk: an optimized crystal structure of FeCuOs2C (GGA-PBE).

The structure belongs to space group P4/mmm (No. 123); the cell edges are 4.5356, 4.5356 and 3.4624 Å and the angles 90.00°, 90.00° and 90.00°. The inequivalent atoms are Fe at (0.0000, 0.0000, 0.0000), Cu at (0.5000, 0.5000, 0.5000), Os at (0.0000, 0.5000, 0.0000) and C at (0.0000, 0.0000, 0.5000).

Its density of states at the Fermi level is 6.67 states/eV per cell. The value obtained for the total magnetic moment is 0.00 μB per formula unit. Its formation energy is 1.86 eV/atom. Its calculated total energy is -6.984 eV/atom.

---

No. 2
Entry from Alexandria via LeMat-Bulk: an optimized crystal structure of PmFeCuC (GGA-PBE).

The structure belongs to space group P4/nmm (No. 129, origin choice 2); the cell edges are 3.4407, 3.4407 and 9.9706 Å and the angles 90.00°, 90.00° and 90.00°. The inequivalent atoms are Pm at (0.2500, 0.2500, 0.2419), Fe at (0.2500, 0.7500, 0.0000), Cu at (0.2500, 0.7500, 0.5000) and C at (0.2500, 0.2500, 0.9058).

Its density of states at the Fermi level is 5.21 states/eV per cell. The value obtained for the total magnetic moment is 0.00 μB per formula unit. Its formation energy is -0.12 eV/atom. Its calculated total energy is -6.755 eV/atom.

---

No. 3
Entry from Alexandria via LeMat-Bulk: an optimized crystal structure of FeCuRh2C (GGA-PBE).

The structure belongs to space group P4/mmm (No. 123); the cell edges are 4.0232, 4.0232 and 3.8260 Å and the angles 90.00°, 90.00° and 90.00°. The inequivalent atoms are Fe at (0.0000, 0.0000, 0.0000), Cu at (0.5000, 0.5000, 0.0000), Rh at (0.0000, 0.5000, 0.5000) and C at (0.0000, 0.0000, 0.5000).

Its density of states at the Fermi level is 3.50 states/eV per cell. The value obtained for the total magnetic moment is 2.90 μB per formula unit. Its formation energy is 0.15 eV/atom. Its calculated total energy is -7.146 eV/atom.

---

No. 4
Entry from Alexandria via LeMat-Bulk: an optimized crystal structure of Fe2CuRhC (GGA-PBE).

The structure belongs to space group P4/mmm (No. 123); the cell edges are 3.7904, 3.7904 and 4.0159 Å and the angles 90.00°, 90.00° and 90.00°. The inequivalent atoms are Fe at (0.0000, 0.5000, 0.0000), Cu at (0.0000, 0.0000, 0.5000), Rh at (0.5000, 0.5000, 0.5000) and C at (0.5000, 0.5000, 0.0000).

Its density of states at the Fermi level is 3.69 states/eV per cell. The value obtained for the total magnetic moment is 4.00 μB per formula unit. Its formation energy is 0.14 eV/atom. Its calculated total energy is -7.376 eV/atom.

---

No. 5
Entry from Alexandria via LeMat-Bulk: an optimized crystal structure of Fe2CuRuC (GGA-PBE).

The structure belongs to space group P4/mmm (No. 123); the cell edges are 3.8104, 3.8104 and 3.9887 Å and the angles 90.00°, 90.00° and 90.00°. The inequivalent atoms are Fe at (0.0000, 0.5000, 0.0000), Cu at (0.0000, 0.0000, 0.5000), Ru at (0.5000, 0.5000, 0.5000) and C at (0.5000, 0.5000, 0.0000).

Its density of states at the Fermi level is 5.29 states/eV per cell. The value obtained for the total magnetic moment is 4.87 μB per formula unit. Its formation energy is 0.21 eV/atom. Its calculated total energy is -7.699 eV/atom.

---

No. 6
Entry from Alexandria via LeMat-Bulk: an optimized crystal structure of ScFeCuC (GGA-PBE).

The structure belongs to space group P4/nmm (No. 129, origin choice 2); the cell edges are 3.3687, 3.3687 and 9.0024 Å and the angles 90.00°, 90.00° and 90.00°. The inequivalent atoms are Sc at (0.2500, 0.2500, 0.2391), Fe at (0.2500, 0.7500, 0.0000), Cu at (0.2500, 0.7500, 0.5000) and C at (0.2500, 0.2500, 0.8907).

Its density of states at the Fermi level is 5.66 states/eV per cell. The value obtained for the total magnetic moment is 0.00 μB per formula unit. Its formation energy is -0.12 eV/atom. Its calculated total energy is -7.147 eV/atom.

---

No. 7
Entry from Alexandria via LeMat-Bulk: an optimized crystal structure of ScFe2CuC (GGA-PBE).

The structure belongs to space group P4/mmm (No. 123); the cell edges are 3.8497, 3.8497 and 3.9217 Å and the angles 90.00°, 90.00° and 90.00°. The inequivalent atoms are Sc at (0.0000, 0.0000, 0.0000), Fe at (0.0000, 0.5000, 0.5000), Cu at (0.5000, 0.5000, 0.0000) and C at (0.5000, 0.5000, 0.5000).

Its density of states at the Fermi level is 4.73 states/eV per cell. The value obtained for the total magnetic moment is 0.89 μB per formula unit. Its formation energy is -0.03 eV/atom. Its calculated total energy is -7.341 eV/atom.

---

No. 8
Entry from Alexandria via LeMat-Bulk: an optimized crystal structure of SmFeCuC (GGA-PBE).

The structure belongs to space group P4/nmm (No. 129, origin choice 2); the cell edges are 3.4336, 3.4336 and 9.9099 Å and the angles 90.00°, 90.00° and 90.00°. The inequivalent atoms are Sm at (0.2500, 0.2500, 0.2419), Fe at (0.2500, 0.7500, 0.0000), Cu at (0.2500, 0.7500, 0.5000) and C at (0.2500, 0.2500, 0.9041).

Its density of states at the Fermi level is 5.32 states/eV per cell. The value obtained for the total magnetic moment is 0.00 μB per formula unit. Its formation energy is -0.13 eV/atom. Its calculated total energy is -6.751 eV/atom.

---

No. 9
Entry from Alexandria via LeMat-Bulk: an optimized crystal structure of Sm2FeCuC (GGA-PBE).

The structure belongs to space group P4/mmm (No. 123); the cell edges are 5.0818, 5.0818 and 3.6480 Å and the angles 90.00°, 90.00° and 90.00°. The inequivalent atoms are Sm at (0.0000, 0.5000, 0.0000), Fe at (0.0000, 0.0000, 0.5000), Cu at (0.5000, 0.5000, 0.5000) and C at (0.0000, 0.0000, 0.0000).

Its density of states at the Fermi level is 2.96 states/eV per cell. The value obtained for the total magnetic moment is 0.14 μB per formula unit. Its formation energy is -0.18 eV/atom. Its calculated total energy is -6.423 eV/atom.

---

No. 10
Entry from Alexandria via LeMat-Bulk: an optimized crystal structure of FeCu2SnC (GGA-PBE).

The structure belongs to space group P4/mmm (No. 123); the cell edges are 4.4257, 4.4257 and 4.8391 Å and the angles 90.00°, 90.00° and 90.00°. The inequivalent atoms are Fe at (0.0000, 0.0000, 0.0000), Cu at (0.0000, 0.5000, 0.0000), Sn at (0.0000, 0.0000, 0.5000) and C at (0.5000, 0.5000, 0.5000).

Its density of states at the Fermi level is 4.70 states/eV per cell. The value obtained for the total magnetic moment is 3.25 μB per formula unit. Its formation energy is 1.93 eV/atom. Its calculated total energy is -4.042 eV/atom.

---

No. 11
Entry from Alexandria via LeMat-Bulk: an optimized crystal structure of Fe2CuTcC (GGA-PBE).

The structure belongs to space group P4/mmm (No. 123); the cell edges are 3.8250, 3.8250 and 4.0311 Å and the angles 90.00°, 90.00° and 90.00°. The inequivalent atoms are Fe at (0.0000, 0.5000, 0.0000), Cu at (0.0000, 0.0000, 0.5000), Tc at (0.5000, 0.5000, 0.5000) and C at (0.5000, 0.5000, 0.0000).

Its density of states at the Fermi level is 4.97 states/eV per cell. The value obtained for the total magnetic moment is 5.27 μB per formula unit. Its formation energy is 0.22 eV/atom. Its calculated total energy is -7.904 eV/atom.

---

No. 12
Entry from Alexandria via LeMat-Bulk: an optimized crystal structure of TiFe2CuC (GGA-PBE).

The structure belongs to space group P4/mmm (No. 123); the cell edges are 3.7350, 3.7350 and 4.1133 Å and the angles 90.00°, 90.00° and 90.00°. The inequivalent atoms are Ti at (0.0000, 0.0000, 0.0000), Fe at (0.0000, 0.5000, 0.5000), Cu at (0.5000, 0.5000, 0.0000) and C at (0.0000, 0.0000, 0.5000).

Its density of states at the Fermi level is 4.90 states/eV per cell. The value obtained for the total magnetic moment is 1.50 μB per formula unit. Its formation energy is -0.04 eV/atom. Its calculated total energy is -7.666 eV/atom.